1.
This record from Alexandria via LeMat-Bulk describes a geometry-optimized Sm2BePdO6 structure. The functional is GGA-PBE.

Cell: 5.361 5.565 7.494 Å, 90.00 90.29 90.00°
Atoms (fractional coordinates):
Sm: 0.013 0.937 0.251
Sm: 0.513 0.563 0.751
Sm: 0.987 0.063 0.749
Sm: 0.487 0.437 0.249
Be: 0.500 0.000 0.000
Be: 0.000 0.500 0.500
Pd: 0.500 0.000 0.500
Pd: 0.000 0.500 0.000
O: 0.305 0.713 0.048
O: 0.805 0.787 0.548
O: 0.695 0.287 0.952
O: 0.195 0.213 0.452
O: 0.291 0.697 0.455
O: 0.791 0.803 0.955
O: 0.709 0.303 0.545
O: 0.209 0.197 0.045
O: 0.913 0.520 0.265
O: 0.413 0.980 0.765
O: 0.087 0.480 0.735
O: 0.587 0.020 0.235

Computed properties:
V (Å³/f.u.): 112
Energy relative to the elements, uncorrected (kJ/mol of atoms): -219.84
Space-group type: No. 14


2.
This record from Alexandria via LeMat-Bulk describes a geometry-optimized Sr2BePdO6 structure. The functional is GGA-PBE.

Cell: 5.506 5.506 9.641 Å, 73.41 73.41 60.00°
Atoms (fractional coordinates):
Sr: 0.870 0.870 0.390
Sr: 0.130 0.130 0.610
Sr: 0.714 0.714 0.857
Sr: 0.286 0.286 0.143
Be: 0.000 0.000 0.000
Be: 0.500 0.500 0.500
Pd: 0.590 0.590 0.230
Pd: 0.410 0.410 0.770
O: 0.854 0.386 0.374
O: 0.386 0.854 0.374
O: 0.386 0.386 0.374
O: 0.146 0.614 0.626
O: 0.614 0.146 0.626
O: 0.614 0.614 0.626
O: 0.723 0.194 0.888
O: 0.194 0.723 0.888
O: 0.194 0.194 0.888
O: 0.277 0.806 0.112
O: 0.806 0.277 0.112
O: 0.806 0.806 0.112

Computed properties:
V (Å³/f.u.): 119
Energy relative to the elements, uncorrected (kJ/mol of atoms): -155.57
Space-group type: No. 166


3.
This record from Alexandria via LeMat-Bulk describes a geometry-optimized Sr2Be2PdO6 structure. The functional is GGA-PBE.

Cell: 5.366 5.366 6.147 Å, 64.12 64.12 60.00°
Atoms (fractional coordinates):
Sr: 0.783 0.783 0.650
Sr: 0.217 0.217 0.350
Be: 0.410 0.410 0.771
Be: 0.590 0.590 0.229
Pd: 0.000 0.000 0.000
O: 0.750 0.750 0.246
O: 0.254 0.750 0.246
O: 0.750 0.254 0.246
O: 0.250 0.746 0.754
O: 0.746 0.250 0.754
O: 0.250 0.250 0.754

Computed properties:
V (Å³/f.u.): 132
Energy relative to the elements, uncorrected (kJ/mol of atoms): -199.07
Space-group type: No. 166


Q: Which value of V does entry 1 give?
A: 112 Å³/f.u.